No. 1
This record from the Alexandria database describes a relaxed Ho4ZnPd crystal. The functional is PBE.

Computed properties:
DOS at the Fermi energy, states/eV/cell: 16.6
Crystal system: monoclinic

Geometry as CIF:
```
data_Ho4ZnPd
_space_group_name_H-M_alt 'C 1 2/m 1'
_space_group_IT_number 12
_cell_length_a 6.905
_cell_length_b 6.905
_cell_length_c 6.945
_cell_angle_alpha 90.00
_cell_angle_beta 90.07
_cell_angle_gamma 90.00
loop_
_space_group_symop_operation_xyz
'x,y,z'
'-x,-y,-z'
'-x,y,-z'
'x,-y,z'
'x+1/2,y+1/2,z'
'-x+1/2,-y+1/2,-z'
'-x+1/2,y+1/2,-z'
'x+1/2,-y+1/2,z'
loop_
_atom_site_label
_atom_site_fract_x
_atom_site_fract_y
_atom_site_fract_z
Ho1 0.250 0.250 0.247
Zn1 0.000 0.000 0.500
Pd1 0.000 0.500 0.000
```

---

No. 2
This record from the Alexandria database describes a relaxed Pu3Be2Ge4 crystal. The functional is PBE.

Computed properties:
DOS at the Fermi energy, states/eV/cell: 56.1
Crystal system: monoclinic

Geometry as CIF:
```
data_Pu3Be2Ge4
_space_group_name_H-M_alt 'C 1 2/m 1'
_space_group_IT_number 12
_cell_length_a 10.831
_cell_length_b 3.994
_cell_length_c 8.101
_cell_angle_alpha 90.00
_cell_angle_beta 99.22
_cell_angle_gamma 90.00
loop_
_space_group_symop_operation_xyz
'x,y,z'
'-x,-y,-z'
'-x,y,-z'
'x,-y,z'
'x+1/2,y+1/2,z'
'-x+1/2,-y+1/2,-z'
'-x+1/2,y+1/2,-z'
'x+1/2,-y+1/2,z'
loop_
_atom_site_label
_atom_site_fract_x
_atom_site_fract_y
_atom_site_fract_z
Pu1 0.000 0.000 0.000
Pu2 0.161 0.500 0.667
Be1 0.107 0.500 0.281
Ge1 0.065 0.000 0.381
Ge2 0.215 0.500 0.071
```

---

Number 1: relative energy among the computed polymorphs 0.1979 eV/atom, formation energy from the elements -0.2353 eV/atom, uncorrected energy -52.38 eV for the cell shown. Number 2: relative energy among the computed polymorphs 0.0000 eV/atom, formation energy from the elements -0.3660 eV/atom, uncorrected energy -144.42 eV for the cell shown.